## i
ZnCr2Cl | PBE-GGA | optimized geometry

Cell lengths 6.1806, 7.2355, 3.0463 Å; angles 90.00, 90.00, 90.00 degrees
Space group Cmmm (No. 65)
Inequivalent atoms, fractional coordinates:
Zn1 0.0000 0.0000 0.0000 x2
Cr1 0.2500 0.2500 0.5000 x4
Cl1 0.0000 0.5000 0.0000 x2



## ii
ZnCr2Cl | PBE-GGA | optimized geometry

Cell lengths 3.0676, 3.2638, 7.0896 Å; angles 90.00, 90.00, 90.00 degrees
Space group Pmmm (No. 47)
Inequivalent atoms, fractional coordinates:
Zn1 0.0000 0.0000 0.0000 x1
Cr1 0.5000 0.5000 0.2143 x2
Cl1 0.0000 0.5000 0.5000 x1



Most stable structure: ii



## i
CdSbIr2 | PBE-GGA | optimized geometry

Cell lengths 4.3458, 4.3458, 7.3551 Å; angles 90.00, 90.00, 90.00 degrees
Space group I4/mmm (No. 139)
Inequivalent atoms, fractional coordinates:
Cd1 0.0000 0.0000 0.0000 x2
Sb1 0.0000 0.0000 0.5000 x2
Ir1 0.0000 0.5000 0.2500 x4



## ii
CdSbIr2 | PBE-GGA | optimized geometry

Cell lengths 6.5368, 6.5368, 6.5368 Å; angles 90.00, 90.00, 90.00 degrees
Space group Fm-3m (No. 225)
Inequivalent atoms, fractional coordinates:
Cd1 0.0000 0.0000 0.0000 x4
Sb1 0.0000 0.0000 0.5000 x4
Ir1 0.2500 0.2500 0.2500 x8



Most stable structure: i



## i
TlC | PBE-GGA | optimized geometry

Cell lengths 2.6843, 6.8050, 10.4680 Å; angles 90.00, 90.00, 90.00 degrees
Space group Cmme (No. 67)
Inequivalent atoms, fractional coordinates:
Tl1 0.0000 0.2500 0.1648 x4
C1 0.0000 0.2500 0.4995 x4



## ii
TlC | PBE-GGA | optimized geometry

Cell lengths 2.8354, 2.8354, 10.7906 Å; angles 90.00, 90.00, 120.00 degrees
Space group P-3m1 (No. 164)
Inequivalent atoms, fractional coordinates:
Tl1 0.3333 0.6667 0.1608 x2
C1 0.3333 0.6667 0.4999 x2



Most stable structure: i